1.
Here is a geometry-optimized YCoO3 structure from OQMD via LeMat-Bulk. Energies are from GGA+U.

Unit cell a=3.6772 b=3.6772 c=3.7656 alpha=90.00 beta=90.00 gamma=90.00
Fractional positions:
Y 0.0000 0.0000 0.0000
Co 0.5000 0.5000 0.5427
O 0.0000 0.5000 0.5878
O 0.5000 0.0000 0.5878
O 0.5000 0.5000 0.0567

Computed properties:
magnetic moment: 0.0 Bohr magnetons per cell
V: 50.9 Å³ per cell
VASP energy: -7.303 eV per atom

2.
Here is a geometry-optimized Zn2Co2O5 structure from OQMD via LeMat-Bulk. Energies are from GGA+U.

Unit cell a=3.5871 b=3.5871 c=7.3802 alpha=90.00 beta=90.00 gamma=90.00
Fractional positions:
Zn 0.0000 0.0000 0.0000
Zn 0.0000 0.0000 0.5000
Co 0.5000 0.5000 0.2341
Co 0.5000 0.5000 0.7659
O 0.0000 0.5000 0.1834
O 0.0000 0.5000 0.8166
O 0.5000 0.0000 0.1834
O 0.5000 0.0000 0.8166
O 0.5000 0.5000 0.5000

Computed properties:
magnetic moment: 3.9 Bohr magnetons per cell
V: 95.0 Å³ per cell
VASP energy: -4.790 eV per atom

3.
Here is a geometry-optimized ZnCo2O4 structure from OQMD via LeMat-Bulk. Energies are from GGA+U.

Unit cell a=5.8929 b=5.8929 c=5.8929 alpha=60.00 beta=60.00 gamma=60.00
Fractional positions:
Zn 0.1250 0.1250 0.1250
Zn 0.8750 0.8750 0.8750
Co 0.0000 0.5000 0.5000
Co 0.5000 0.0000 0.5000
Co 0.5000 0.5000 0.0000
Co 0.5000 0.5000 0.5000
O 0.2594 0.2594 0.2594
O 0.2594 0.2594 0.7219
O 0.2594 0.7219 0.2594
O 0.2781 0.7406 0.7406
O 0.7219 0.2594 0.2594
O 0.7406 0.2781 0.7406
O 0.7406 0.7406 0.2781
O 0.7406 0.7406 0.7406

Computed properties:
magnetic moment: 15.9 Bohr magnetons per cell
V: 144.7 Å³ per cell
VASP energy: -5.503 eV per atom

4.
Here is a geometry-optimized Zr2CoO4 structure from OQMD via LeMat-Bulk. Energies are from GGA+U.

Unit cell a=6.3103 b=6.3103 c=6.3103 alpha=60.00 beta=60.00 gamma=60.00
Fractional positions:
Zr 0.0000 0.0000 0.0000
Zr 0.0000 0.0000 0.5000
Zr 0.0000 0.5000 0.0000
Zr 0.5000 0.0000 0.0000
Co 0.3750 0.3750 0.3750
Co 0.6250 0.6250 0.6250
O 0.2407 0.7531 0.7531
O 0.2469 0.2469 0.2469
O 0.2469 0.2469 0.7593
O 0.2469 0.7593 0.2469
O 0.7531 0.2407 0.7531
O 0.7531 0.7531 0.2407
O 0.7531 0.7531 0.7531
O 0.7593 0.2469 0.2469

Computed properties:
magnetic moment: 4.7 Bohr magnetons per cell
V: 177.7 Å³ per cell
VASP energy: -8.334 eV per atom

5.
Here is a geometry-optimized Zr6CoO2 structure from OQMD via LeMat-Bulk. Energies are from GGA+U.

Unit cell a=7.0272 b=7.0272 c=3.4944 alpha=90.00 beta=90.00 gamma=120.00
Fractional positions:
Zr 0.0000 0.4192 0.0000
Zr 0.0000 0.7422 0.5000
Zr 0.2578 0.2578 0.5000
Zr 0.4192 0.0000 0.0000
Zr 0.5808 0.5808 0.0000
Zr 0.7422 0.0000 0.5000
Co 0.0000 0.0000 0.0000
O 0.3333 0.6667 0.5000
O 0.6667 0.3333 0.5000

Computed properties:
magnetic moment: 0.0 Bohr magnetons per cell
V: 149.4 Å³ per cell
VASP energy: -7.815 eV per atom